(1)
Sm5Dy2Bi5: optimized geometry, GGA-PBE.

For the volume, the calculation gives 403 Å³/cell. Its crystal system is monoclinic. The density of states at the Fermi level is 0.72 states/eV/atom. The calculation puts the energy of formation from the pure elements at -0.6482 eV/atom.

```
Sm5Dy2Bi5
1.0
4.502 0.000 0.000
-2.251 7.412 -0.375
0.000 -4.162 12.280
Sm Bi Dy
5 5 2
Direct
0.662 0.324 0.033
0.500 0.000 0.500
0.338 0.676 0.967
0.282 0.564 0.660
0.718 0.436 0.340
0.307 0.614 0.216
0.000 0.000 0.000
0.117 0.235 0.430
0.693 0.386 0.784
0.883 0.765 0.570
0.951 0.901 0.210
0.049 0.099 0.790
```


(2)
InW3: optimized geometry, GGA-PBE.

For the volume, the calculation gives 69 Å³/cell. Its crystal system is cubic. The density of states at the Fermi level is 0.98 states/eV/atom. The calculation puts the energy of formation from the pure elements at 0.5885 eV/atom.

```
InW3
1.0
4.594 0.000 0.000
2.297 3.978 0.000
2.297 1.326 3.751
W In
3 1
Direct
0.750 0.750 0.750
0.500 0.500 0.500
0.250 0.250 0.250
0.000 0.000 0.000
```


(3)
KGaGe: optimized geometry, GGA-PBE.

For the volume, the calculation gives 379 Å³/cell. Its crystal system is tetragonal. The density of states at the Fermi level is 0.38 states/eV/atom. The calculation puts the energy of formation from the pure elements at 0.1735 eV/atom.

```
KGaGe
1.0
5.463 0.000 0.000
0.000 5.463 0.000
0.000 0.000 12.698
Ge Ga K
4 4 4
Direct
0.500 0.861 0.500
0.139 0.500 0.750
0.861 0.500 0.250
0.500 0.139 0.000
0.507 0.493 0.125
0.507 0.507 0.375
0.493 0.507 0.625
0.493 0.493 0.875
0.736 0.000 0.750
0.000 0.264 0.500
0.000 0.736 0.000
0.264 0.000 0.250
```


(4)
La2NdErP4: optimized geometry, GGA-PBE.

For the volume, the calculation gives 206 Å³/cell. Its crystal system is monoclinic. The density of states at the Fermi level is 0.09 states/eV/atom. The calculation puts the energy of formation from the pure elements at -1.5579 eV/atom.

```
La2NdErP4
1.0
-3.862 -1.335 -0.860
-0.822 -2.054 6.878
-2.200 6.844 -0.747
P Er La Nd
4 1 2 1
Direct
0.500 0.253 0.242
0.500 0.747 0.758
0.000 0.259 0.762
0.000 0.741 0.238
0.500 0.500 0.000
0.000 0.500 0.500
0.500 0.000 0.500
0.000 0.000 0.000
```